Record 1
VASP calculation (PBE-GGA) on a relaxed structure of Tm2VP.

Computed properties:
Density of states at the Fermi level: 1.199 states/eV per atom
Calculated total energy: -23.4 eV for the cell shown
Symmetry: No. 166

Cell and atoms, written as POSCAR:
```
Tm2VP
1.0
1.806 1.042 9.088
-1.806 1.042 9.088
0.000 -2.085 9.088
Tm V P
2 1 1
direct
0.106 0.106 0.106
0.894 0.894 0.894
0.000 0.000 0.000
0.500 0.500 0.500
```



Record 2
VASP calculation (PBE-GGA) on a relaxed structure of ScFe2Cl6.

Computed properties:
Density of states at the Fermi level: 1.218 states/eV per atom
Formation energy without anion corrections: -1.107 eV per atom
Symmetry: No. 15

Cell and atoms, written as POSCAR:
```
ScFe2Cl6
1.0
6.191 -5.603 0.000
6.191 5.603 0.000
-1.170 0.000 6.544
Sc Fe Cl
2 4 12
direct
0.103 0.897 0.750
0.897 0.103 0.250
0.232 0.391 0.683
0.391 0.232 0.183
0.609 0.768 0.817
0.768 0.609 0.317
0.040 0.186 0.612
0.117 0.629 0.853
0.186 0.040 0.112
0.289 0.454 0.378
0.371 0.883 0.647
0.454 0.289 0.878
0.546 0.711 0.122
0.629 0.117 0.353
0.711 0.546 0.622
0.814 0.960 0.888
0.883 0.371 0.147
0.960 0.814 0.388
```



Record 3
VASP calculation (PBE-GGA) on a relaxed structure of SmYTlOs.

Computed properties:
Density of states at the Fermi level: 0.732 states/eV per atom
Calculated total energy: -25.2 eV for the cell shown
Symmetry: No. 216

Cell and atoms, written as POSCAR:
```
SmYTlOs
1.0
0.000 3.624 3.624
3.624 0.000 3.624
3.624 3.624 0.000
Sm Y Tl Os
1 1 1 1
direct
0.000 0.000 0.000
0.500 0.500 0.500
0.750 0.750 0.750
0.250 0.250 0.250
```



Record 4
VASP calculation (PBE-GGA) on a relaxed structure of Cs2KI2Cl6.

Computed properties:
Density of states at the Fermi level: 0.579 states/eV per atom
Formation energy without anion corrections: -1.040 eV per atom
Symmetry: No. 12

Cell and atoms, written as POSCAR:
```
Cs2KI2Cl6
1.0
7.924 -3.763 0.000
7.924 3.763 0.000
-4.871 0.000 7.722
Cs K I Cl
2 1 2 6
direct
0.219 0.219 0.173
0.781 0.781 0.827
0.000 0.000 0.500
0.420 0.420 0.708
0.580 0.580 0.292
0.184 0.646 0.192
0.235 0.235 0.591
0.354 0.816 0.808
0.646 0.184 0.192
0.765 0.765 0.409
0.816 0.354 0.808
```